Entry from the Alexandria database: crystalline TbNb4 at its relaxed geometry (PBE).

Computed properties:
- E_form (eV per atom) = 2.032
- symmetry = Pm-3m (221)
- M_tot (μB/cell) = 0.000

Cell lengths 4.853, 4.853, 4.853 Å; angles 90.00, 90.00, 90.00 degrees
Atoms (fractional coordinates):
Nb1 0.000 0.000 0.000
Nb2 0.000 0.500 0.500
Nb3 0.500 0.000 0.500
Nb4 0.500 0.500 0.000
Tb1 0.500 0.500 0.500